No. 1
Entry from the Alexandria database: a relaxed structure of La3Sm2ErS6 (GGA-PBE).

**Density**: 6.3 g/cm3
**Symmetry**: No. 12
**Total DFT energy (no corrections)**: -78.64 eV per formula unit
**Formation energy (no corrections)**: -25.091 eV per formula unit
**N(E_F)**: 5.81 states/eV/f.u.

Lattice parameters (Å, degrees): 7.0126 7.0126 7.0614 99.54 99.54 120.11
Last column: nearest neighbours and their distance in Å.
Sites, in units of the cell vectors:
La: 0.0000 0.0000 0.0000  6 S 2.91-2.97
La: 0.3304 0.6696 0.0000  6 S 2.91-2.95
La: 0.6696 0.3304 0.0000  6 S 2.91-2.95
Sm: 0.1667 0.8333 0.5000  6 S 2.83-2.84
Sm: 0.8333 0.1667 0.5000  6 S 2.83-2.84
Er: 0.5000 0.5000 0.5000  6 S 2.76-2.77
S: 0.0971 0.4223 0.2663  1 Er 2.76, 2 Sm 2.83, 3 La 2.91-2.95
S: 0.2537 0.2537 0.7366  1 Er 2.77, 2 Sm 2.84, 3 La 2.92-2.97
S: 0.4223 0.0971 0.2663  1 Er 2.76, 2 Sm 2.83, 3 La 2.91-2.95
S: 0.5777 0.9029 0.7337  1 Er 2.76, 2 Sm 2.83, 3 La 2.91-2.95
S: 0.7463 0.7463 0.2634  1 Er 2.77, 2 Sm 2.84, 3 La 2.92-2.97
S: 0.9029 0.5777 0.7337  1 Er 2.76, 2 Sm 2.83, 3 La 2.91-2.95


No. 2
Entry from the Alexandria database: a relaxed structure of LaCd2Fe (GGA-PBE).

**Density**: 7.4 g/cm3
**Symmetry**: No. 123
**Total DFT energy (no corrections)**: -14.53 eV per formula unit
**N(E_F)**: 5.50 states/eV/f.u.

Lattice parameters (Å, degrees): 4.2521 4.2521 5.1783 90.00 90.00 90.00
Last column: nearest neighbours and their distance in Å.
Sites, in units of the cell vectors:
La: 0.0000 0.0000 0.0000  4 Fe 3.01, 8 Cd 3.35
Cd: 0.0000 0.5000 0.5000  4 Cd 3.01, 4 La 3.35, 4 Fe 3.35
Cd: 0.5000 0.0000 0.5000  4 Cd 3.01, 4 La 3.35, 4 Fe 3.35
Fe: 0.5000 0.5000 0.0000  4 La 3.01, 8 Cd 3.35


No. 3
Entry from the Alexandria database: a relaxed structure of Sr2TcOsPb (GGA-PBE).

**Density**: 5.9 g/cm3
**Symmetry**: No. 123
**Total DFT energy (no corrections)**: -20.50 eV per formula unit
**N(E_F)**: 5.46 states/eV/f.u.

Lattice parameters (Å, degrees): 6.1353 6.1353 5.0213 90.00 90.00 90.00
Last column: nearest neighbours and their distance in Å.
Sites, in units of the cell vectors:
Sr: 0.0000 0.5000 0.0000  2 Pb 3.07
Sr: 0.5000 0.0000 0.0000  2 Pb 3.07
Tc: 0.0000 0.0000 0.5000  8 Sr 3.96, 4 Os 4.34
Os: 0.5000 0.5000 0.5000  2 Pb 2.51
Pb: 0.5000 0.5000 0.0000  2 Os 2.51


No. 4
Entry from the Alexandria database: a relaxed structure of Zn3Ag2Pd8 (GGA-PBE).

**Density**: 9.8 g/cm3
**Symmetry**: No. 12
**Total DFT energy (no corrections)**: -52.78 eV per formula unit
**N(E_F)**: 6.56 states/eV/f.u.

Lattice parameters (Å, degrees): 6.6941 6.6941 5.2442 100.27 100.27 68.62
Last column: nearest neighbours and their distance in Å.
Sites, in units of the cell vectors:
Zn: 0.0000 0.0000 0.0000  6 Pd 2.55-2.60
Zn: 0.2218 0.7782 0.5000  6 Pd 2.53-2.78
Zn: 0.7782 0.2218 0.5000  6 Pd 2.53-2.78
Ag: 0.3888 0.3888 0.0757  8 Pd 2.60-2.90, 1 Ag 2.74
Ag: 0.6112 0.6112 0.9243  8 Pd 2.60-2.90, 1 Ag 2.74
Pd: 0.0045 0.3759 0.2334  2 Zn 2.60-2.78, 4 Pd 2.77-2.87, 2 Ag 2.87-2.90
Pd: 0.1612 0.1612 0.7184  3 Zn 2.53-2.55, 1 Pd 2.72, 1 Ag 2.80
Pd: 0.3759 0.0045 0.2334  2 Zn 2.60-2.78, 4 Pd 2.77-2.87, 2 Ag 2.87-2.90
Pd: 0.3813 0.3813 0.5686  2 Zn 2.54, 3 Ag 2.60-2.81, 5 Pd 2.72-2.81
Pd: 0.6187 0.6187 0.4314  2 Zn 2.54, 3 Ag 2.60-2.81, 5 Pd 2.72-2.81
Pd: 0.6241 0.9955 0.7666  2 Zn 2.60-2.78, 4 Pd 2.77-2.87, 2 Ag 2.87-2.90
Pd: 0.8388 0.8388 0.2816  3 Zn 2.53-2.55, 1 Pd 2.72, 1 Ag 2.80
Pd: 0.9955 0.6241 0.7666  2 Zn 2.60-2.78, 4 Pd 2.77-2.87, 2 Ag 2.87-2.90


No. 5
Entry from the Alexandria database: a relaxed structure of Zr7Cd5 (GGA-PBE).

**Density**: 7.5 g/cm3
**Symmetry**: No. 8
**Total DFT energy (no corrections)**: -65.03 eV per formula unit
**N(E_F)**: 12.17 states/eV/f.u.

Lattice parameters (Å, degrees): 6.8568 6.8568 10.2136 114.07 114.07 38.15
Last column: nearest neighbours and their distance in Å.
Sites, in units of the cell vectors:
Zr: 0.0000 0.0000 0.0000  4 Zr 3.07-3.22, 8 Cd 3.10-3.21
Zr: 0.1655 0.1655 0.4965  9 Zr 3.05-3.31, 3 Cd 3.09-3.22
Zr: 0.5066 0.5066 0.4985  8 Zr 3.05-3.20, 4 Cd 3.13-3.23
Zr: 0.5858 0.5858 0.2513  4 Cd 3.10-3.18, 8 Zr 3.11-3.22
Zr: 0.7541 0.7541 0.7611  5 Zr 3.07-3.31, 7 Cd 3.12-3.17
Zr: 0.8349 0.8349 0.5087  5 Cd 3.10-3.21, 7 Zr 3.10-3.21
Zr: 0.9141 0.9141 0.2508  5 Cd 3.09-3.19, 7 Zr 3.14-3.21
Cd: 0.0833 0.0833 0.7505  5 Cd 3.07-3.22, 7 Zr 3.10-3.23
Cd: 0.2533 0.2533 0.2595  9 Zr 3.09-3.21, 3 Cd 3.17-3.26
Cd: 0.3303 0.3303 0.0038  5 Cd 3.09-3.25, 7 Zr 3.15-3.19
Cd: 0.4218 0.4218 0.7530  4 Cd 3.07-3.25, 8 Zr 3.15-3.23
Cd: 0.6658 0.6658 0.0017  7 Cd 3.09-3.26, 5 Zr 3.10-3.14


No. 6
Entry from the Alexandria database: a relaxed structure of HoPu2Pt (GGA-PBE).

**Density**: 12.6 g/cm3
**Symmetry**: No. 166
**Total DFT energy (no corrections)**: -39.90 eV per formula unit
**N(E_F)**: 18.92 states/eV/f.u.

Lattice parameters (Å, degrees): 3.6878 3.6878 28.4534 90.00 90.00 120.00
Last column: nearest neighbours and their distance in Å.
Sites, in units of the cell vectors:
Ho: 0.0000 0.0000 0.0000  6 Pu 3.55, 6 Ho 3.69
Ho: 0.3333 0.6667 0.6667  6 Pu 3.55, 6 Ho 3.69
Ho: 0.6667 0.3333 0.3333  6 Pu 3.55, 6 Ho 3.69
Pu: 0.0000 0.0000 0.2334  3 Pt 2.85
Pu: 0.0000 0.0000 0.7666  3 Pt 2.85
Pu: 0.3333 0.6667 0.4333  3 Pt 2.85
Pu: 0.3333 0.6667 0.9001  3 Pt 2.85
Pu: 0.6667 0.3333 0.0999  3 Pt 2.85
Pu: 0.6667 0.3333 0.5667  3 Pt 2.85
Pt: 0.0000 0.0000 0.5000  6 Pu 2.85
Pt: 0.3333 0.6667 0.1667  6 Pu 2.85
Pt: 0.6667 0.3333 0.8333  6 Pu 2.85


No. 7
Entry from the Alexandria database: a relaxed structure of CePrHo2 (GGA-PBE).

**Relative energy among the computed polymorphs**: 0.000 eV/atom
**Density**: 8.0 g/cm3
**Symmetry**: No. 160
**Total DFT energy (no corrections)**: -19.64 eV per formula unit
**N(E_F)**: 7.90 states/eV/f.u.

Lattice parameters (Å, degrees): 3.5624 3.5624 34.6508 90.00 90.00 120.00
Last column: nearest neighbours and their distance in Å.
Sites, in units of the cell vectors:
Ce: 0.0000 0.0000 0.0000  6 Ho 3.46, 6 Ce 3.56
Ce: 0.3333 0.6667 0.6667  6 Ho 3.46, 6 Ce 3.56
Ce: 0.6667 0.3333 0.3333  6 Ho 3.46, 6 Ce 3.56
Pr: 0.0000 0.0000 0.8341  6 Pr 3.56, 6 Ho 3.61-3.65
Pr: 0.3333 0.6667 0.5007  6 Pr 3.56, 6 Ho 3.61-3.65
Pr: 0.6667 0.3333 0.1674  6 Pr 3.56, 6 Ho 3.61-3.65
Ho: 0.0000 0.0000 0.4137  3 Ce 3.46, 6 Ho 3.56, 3 Pr 3.65
Ho: 0.0000 0.0000 0.5864  3 Ce 3.46, 6 Ho 3.56, 3 Pr 3.61
Ho: 0.3333 0.6667 0.0804  3 Ce 3.46, 6 Ho 3.56, 3 Pr 3.65
Ho: 0.3333 0.6667 0.2531  3 Ce 3.46, 6 Ho 3.56, 3 Pr 3.61
Ho: 0.6667 0.3333 0.7471  3 Ce 3.46, 6 Ho 3.56, 3 Pr 3.65
Ho: 0.6667 0.3333 0.9197  3 Ce 3.46, 6 Ho 3.56, 3 Pr 3.61


No. 8
Entry from the Alexandria database: a relaxed structure of Sc2MnZnC (GGA-PBE).

**Density**: 4.8 g/cm3
**Symmetry**: No. 123
**Total DFT energy (no corrections)**: -34.20 eV per formula unit
**N(E_F)**: 4.58 states/eV/f.u.

Lattice parameters (Å, degrees): 4.5511 4.5511 3.7305 90.00 90.00 90.00
Last column: nearest neighbours and their distance in Å.
Sites, in units of the cell vectors:
Sc: 0.0000 0.5000 0.0000  2 C 2.28
Sc: 0.5000 0.0000 0.0000  2 C 2.28
Mn: 0.0000 0.0000 0.5000  2 C 1.87
Zn: 0.5000 0.5000 0.5000  8 Sc 2.94, 4 Mn 3.22
C: 0.0000 0.0000 0.0000  2 Mn 1.87


No. 9
Entry from the Alexandria database: a relaxed structure of CsCrI2N (GGA-PBE).

**Relative energy among the computed polymorphs**: 0.000 eV/atom
**Density**: 5.2 g/cm3
**Symmetry**: No. 123
**Total DFT energy (no corrections)**: -23.54 eV per formula unit
**Formation energy (no corrections)**: -1.635 eV per formula unit
**N(E_F)**: 1.93 states/eV/f.u.

Lattice parameters (Å, degrees): 6.2211 6.2211 3.7658 90.00 90.00 90.00
Last column: nearest neighbours and their distance in Å.
Sites, in units of the cell vectors:
Cs: 0.0000 0.0000 0.0000  8 I 3.64, 2 Cs 3.77
Cr: 0.5000 0.5000 0.5000  2 N 1.88
I: 0.0000 0.5000 0.5000  2 Cr 3.11
I: 0.5000 0.0000 0.5000  2 Cr 3.11
N: 0.5000 0.5000 0.0000  2 Cr 1.88


No. 10
Entry from the Alexandria database: a relaxed structure of Tb3Pm8Y2 (GGA-PBE).

**Relative energy among the computed polymorphs**: 0.145 eV/atom
**Density**: 6.7 g/cm3
**Symmetry**: No. 12
**Total DFT energy (no corrections)**: -62.11 eV per formula unit
**N(E_F)**: 19.69 states/eV/f.u.

Lattice parameters (Å, degrees): 10.9251 10.9251 5.7366 90.01 90.01 41.33
Last column: nearest neighbours and their distance in Å.
Sites, in units of the cell vectors:
Tb: 0.0000 0.0000 0.0000  4 Pm 3.13
Tb: 0.2857 0.7143 0.5000  3 Tb 3.31-3.62, 6 Pm 3.48-3.60
Tb: 0.7143 0.2857 0.5000  3 Tb 3.31-3.62, 6 Pm 3.48-3.60
Pm: 0.1320 0.1320 0.4995  2 Tb 3.48, 2 Y 3.63, 4 Pm 3.69
Pm: 0.1874 0.6008 0.0001  1 Tb 3.13, 1 Pm 3.19
Pm: 0.3294 0.3294 0.4997  2 Y 3.39, 4 Pm 3.54
Pm: 0.3992 0.8126 0.9999  1 Tb 3.13, 1 Pm 3.19
Pm: 0.6008 0.1874 0.0001  1 Tb 3.13, 1 Pm 3.19
Pm: 0.6706 0.6706 0.5003  2 Y 3.39, 4 Pm 3.54
Pm: 0.8126 0.3992 0.9999  1 Tb 3.13, 1 Pm 3.19
Pm: 0.8680 0.8680 0.5005  2 Tb 3.48, 2 Y 3.63, 4 Pm 3.69
Y: 0.2406 0.2406 0.9995  8 Pm 3.39-3.63
Y: 0.7594 0.7594 0.0005  8 Pm 3.39-3.63


No. 11
Entry from the Alexandria database: a relaxed structure of Sm3Dy4Rh4 (GGA-PBE).

**Density**: 9.3 g/cm3
**Symmetry**: No. 71
**Total DFT energy (no corrections)**: -68.62 eV per formula unit
**N(E_F)**: 8.14 states/eV/f.u.

Lattice parameters (Å, degrees): 9.3101 9.3101 9.3101 156.32 123.02 62.57
Last column: nearest neighbours and their distance in Å.
Sites, in units of the cell vectors:
Sm: 0.0000 0.0000 0.0000  4 Rh 3.16
Sm: 0.3978 0.8978 0.5000  6 Rh 3.06-3.17, 1 Sm 3.25
Sm: 0.6022 0.1022 0.5000  6 Rh 3.06-3.17, 1 Sm 3.25
Dy: 0.0215 0.3338 0.6877  4 Rh 2.78-3.10
Dy: 0.3539 0.6662 0.6877  4 Rh 2.78-3.10
Dy: 0.6461 0.3338 0.3123  4 Rh 2.78-3.10
Dy: 0.9785 0.6662 0.3123  4 Rh 2.78-3.10
Rh: 0.2474 0.2474 0.0000  6 Dy 2.85-3.10, 2 Sm 3.06
Rh: 0.2827 0.5000 0.7827  2 Dy 2.78
Rh: 0.7173 0.5000 0.2173  2 Dy 2.78
Rh: 0.7526 0.7526 0.0000  6 Dy 2.85-3.10, 2 Sm 3.06


No. 12
Entry from the Alexandria database: a relaxed structure of SiIrOs2 (GGA-PBE).

**Density**: 17.7 g/cm3
**Symmetry**: No. 10
**Total DFT energy (no corrections)**: -36.78 eV per formula unit
**Formation energy (no corrections)**: -0.039 eV per formula unit
**N(E_F)**: 4.18 states/eV/f.u.

Lattice parameters (Å, degrees): 2.7928 3.9685 5.2119 90.00 103.35 90.00
Last column: nearest neighbours and their distance in Å.
Sites, in units of the cell vectors:
Si: 0.0000 0.0000 0.0000  4 Os 2.43, 2 Ir 2.61
Ir: 0.0000 0.0000 0.5000  2 Si 2.61, 8 Os 2.75-2.80, 2 Ir 2.79
Os: 0.3684 0.5000 0.2357  2 Si 2.43, 2 Os 2.68-2.72
Os: 0.6316 0.5000 0.7643  2 Si 2.43, 2 Os 2.68-2.72